# PBE-GGA BaBe2CoHg, optimized geometry
# SG: No. 123
# DOS(E_F): 3.820 states/eV per cell
# ρ: 3.387 g/cm³
# Size of the total moment: 1.31 μB/cell
# Energy of formation: 46.16 kcal/mol of atoms
data_BaBe2CoHg
_chemical_formula_sum 'Ba1 Be2 Co1 Hg1'
_cell_length_a 6.105
_cell_length_b 5.458
_cell_length_c 6.105
_cell_angle_alpha 90.00
_cell_angle_beta 90.00
_cell_angle_gamma 90.00
_symmetry_space_group_name_H-M 'P 1'
_symmetry_Int_Tables_number 1
_symmetry_space_group_name_Hall 'P 1'
loop_
_atom_site_label
_atom_site_type_symbol
_atom_site_fract_x
_atom_site_fract_y
_atom_site_fract_z
Ba1 Ba 0.000 0.000 0.000
Be1 Be 0.500 0.000 0.000
Be2 Be 0.000 0.000 0.500
Hg1 Hg 0.500 0.500 0.500
Co1 Co 0.000 0.500 0.000